(1)
Density functional theory data (PBE-GGA) for a geometry-optimized LiErScMn structure.

Geometry as POSCAR:
```
LiErScMn
1.0
0.0000 3.4243 3.4243
3.4243 0.0000 3.4243
3.4243 3.4243 0.0000
Li Er Sc Mn
1 1 1 1
Direct
0.0000 0.0000 0.0000
0.7500 0.7500 0.7500
0.2500 0.2500 0.2500
0.5000 0.5000 0.5000
```

Results
total moment: 2.40 μB per formula unit
formation enthalpy at 0 K: 0.115 eV/atom

(2)
Density functional theory data (PBE-GGA) for a geometry-optimized Li2ErMnSe4 structure.

Geometry as POSCAR:
```
Li2ErMnSe4
1.0
6.6862 0.0000 0.0000
0.0000 3.9090 0.0000
-2.2040 0.0000 6.4215
Li Er Mn Se
2 1 1 4
Direct
0.0000 0.0000 0.0000
0.5000 0.5000 0.0000
0.0000 0.5000 0.5000
0.5000 0.0000 0.5000
0.2696 0.0000 0.7457
0.2710 0.5000 0.2597
0.7290 0.5000 0.7403
0.7304 0.0000 0.2543
```

Results
total moment: 4.00 μB per formula unit
formation energy without anion corrections: -27.281 kcal/mol of atoms

(3)
Density functional theory data (PBE-GGA) for a geometry-optimized LiSmErMn structure.

Geometry as POSCAR:
```
LiSmErMn
1.0
0.0000 3.5746 3.5746
3.5746 0.0000 3.5746
3.5746 3.5746 0.0000
Li Sm Er Mn
1 1 1 1
Direct
0.0000 0.0000 0.0000
0.2500 0.2500 0.2500
0.7500 0.7500 0.7500
0.5000 0.5000 0.5000
```

Results
total moment: 2.47 μB per formula unit
formation enthalpy at 0 K: 0.132 eV/atom

(4)
Density functional theory data (PBE-GGA) for a geometry-optimized LiTbErMn structure.

Geometry as POSCAR:
```
LiTbErMn
1.0
0.0000 3.5399 3.5399
3.5399 0.0000 3.5399
3.5399 3.5399 0.0000
Li Tb Er Mn
1 1 1 1
Direct
0.0000 0.0000 0.0000
0.7500 0.7500 0.7500
0.2500 0.2500 0.2500
0.5000 0.5000 0.5000
```

Results
total moment: 2.48 μB per formula unit
formation enthalpy at 0 K: 0.117 eV/atom

(5)
Density functional theory data (PBE-GGA) for a geometry-optimized Li2ErMnTe4 structure.

Geometry as POSCAR:
```
Li2ErMnTe4
1.0
7.2033 0.0000 0.0000
0.0000 4.1829 0.0000
-2.3622 0.0000 6.9647
Li Er Mn Te
2 1 1 4
Direct
0.0000 0.0000 0.0000
0.5000 0.5000 0.0000
0.0000 0.5000 0.5000
0.5000 0.0000 0.5000
0.2674 0.0000 0.7487
0.2707 0.5000 0.2597
0.7293 0.5000 0.7403
0.7326 0.0000 0.2513
```

Results
total moment: 4.06 μB per formula unit
formation energy without anion corrections: -19.212 kcal/mol of atoms

(6)
Density functional theory data (PBE-GGA) for a geometry-optimized LiErTmMn structure.

Geometry as POSCAR:
```
LiErTmMn
1.0
0.0000 3.5024 3.5024
3.5024 0.0000 3.5024
3.5024 3.5024 0.0000
Li Er Tm Mn
1 1 1 1
Direct
0.0000 0.0000 0.0000
0.2500 0.2500 0.2500
0.7500 0.7500 0.7500
0.5000 0.5000 0.5000
```

Results
total moment: 2.47 μB per formula unit
formation enthalpy at 0 K: 0.104 eV/atom

(7)
Density functional theory data (PBE-GGA) for a geometry-optimized LiYErMn structure.

Geometry as POSCAR:
```
LiYErMn
1.0
0.0000 3.5466 3.5466
3.5466 0.0000 3.5466
3.5466 3.5466 0.0000
Li Y Er Mn
1 1 1 1
Direct
0.0000 0.0000 0.0000
0.2500 0.2500 0.2500
0.7500 0.7500 0.7500
0.5000 0.5000 0.5000
```

Results
total moment: 2.57 μB per formula unit
formation enthalpy at 0 K: 0.118 eV/atom

(8)
Density functional theory data (PBE-GGA) for a geometry-optimized LiEr2Mo structure.

Geometry as POSCAR:
```
LiEr2Mo
1.0
3.4565 0.0000 0.0000
0.0000 3.4565 0.0000
0.0000 0.0000 7.9975
Li Er Mo
1 2 1
Direct
0.0000 0.0000 0.0000
0.5000 0.5000 0.2885
0.5000 0.5000 0.7115
0.0000 0.0000 0.5000
```

Results
total moment: 0.00 μB per formula unit
formation enthalpy at 0 K: 0.192 eV/atom